w.
Below is a relaxed Sb2OsRhI crystal, with properties calculated at the PBE level.

Values from the calculation:
Magnetization, μB/f.u.: 0.8

a b c (Å): 5.6651 5.6651 4.7639
angles (deg): 90.00 90.00 90.00
Closest atoms and distances in Å follow each position.
Space group P4/mmm (No. 123)
Inequivalent atoms, fractional coordinates:
Sb  0.0000  0.5000  0.0000  2 I 2.83
Os  0.0000  0.0000  0.5000  2 I 2.38
Rh  0.5000  0.5000  0.5000  8 Sb 3.70, 4 Os 4.01
I  0.0000  0.0000  0.0000  2 Os 2.38

x.
Below is a relaxed Sb2OsRhI crystal, with properties calculated at the PBE level.

Values from the calculation:
Magnetization, μB/f.u.: 1.2

a b c (Å): 5.0131 5.0131 5.6253
angles (deg): 90.00 90.00 90.00
Closest atoms and distances in Å follow each position.
Space group P4/mmm (No. 123)
Inequivalent atoms, fractional coordinates:
Sb  0.0000  0.5000  0.0000  2 Os 2.51
Os  0.0000  0.0000  0.0000  4 Sb 2.51
Rh  0.5000  0.5000  0.5000  4 I 3.54, 8 Sb 3.77
I  0.0000  0.0000  0.5000  2 Os 2.81

Most stable structure: x

w.
Below is a relaxed Os2RuI crystal, with properties calculated at the PBE level.

Values from the calculation:
Magnetization, μB/f.u.: 0.0

a b c (Å): 6.3963 6.3963 6.3963
angles (deg): 90.00 90.00 90.00
Closest atoms and distances in Å follow each position.
Space group Fm-3m (No. 225)
Inequivalent atoms, fractional coordinates:
Os  0.2500  0.2500  0.2500  4 Ru 2.77, 4 I 2.77
Ru  0.0000  0.0000  0.0000  8 Os 2.77
I  0.0000  0.0000  0.5000  8 Os 2.77

x.
Below is a relaxed Os2RuI crystal, with properties calculated at the PBE level.

Values from the calculation:
Magnetization, μB/f.u.: 0.0

a b c (Å): 6.0045 6.0045 10.4459
angles (deg): 90.00 90.00 90.00
Closest atoms and distances in Å follow each position.
Space group I-42d (No. 122)
Inequivalent atoms, fractional coordinates:
Os  0.2168  0.2500  0.1250  2 Ru 2.38, 2 I 2.62
Ru  0.0000  0.0000  0.0000  4 Os 2.38
I  0.0000  0.0000  0.5000  4 Os 2.62

Most stable structure: w

w.
Below is a relaxed SbOsRuI2 crystal, with properties calculated at the PBE level.

Values from the calculation:
Magnetization, μB/f.u.: 3.8

a b c (Å): 5.3623 5.3623 5.0579
angles (deg): 90.00 90.00 90.00
Closest atoms and distances in Å follow each position.
Space group P4/mmm (No. 123)
Inequivalent atoms, fractional coordinates:
Sb  0.0000  0.0000  0.0000  2 Ru 2.53
Os  0.5000  0.5000  0.0000  8 I 3.69, 4 Sb 3.79
Ru  0.0000  0.0000  0.5000  2 Sb 2.53, 4 I 2.68
I  0.0000  0.5000  0.5000  2 Ru 2.68

x.
Below is a relaxed SbOsRuI2 crystal, with properties calculated at the PBE level.

Values from the calculation:
Magnetization, μB/f.u.: 3.3

a b c (Å): 5.5036 5.5036 4.9951
angles (deg): 90.00 90.00 90.00
Closest atoms and distances in Å follow each position.
Space group P4/mmm (No. 123)
Inequivalent atoms, fractional coordinates:
Sb  0.0000  0.0000  0.0000  2 Os 2.50
Os  0.0000  0.0000  0.5000  2 Sb 2.50, 4 I 2.75
Ru  0.5000  0.5000  0.0000  8 I 3.72, 4 Sb 3.89
I  0.0000  0.5000  0.5000  2 Os 2.75

Most stable structure: x